Record 1
The following is a DFT calculation (PBE-GGA) of Rb2TlH6Pt after structural relaxation.

Cell and atoms, written as POSCAR:
```
Rb2TlH6Pt
1.0
7.115 0.000 0.000
0.000 5.780 0.000
0.000 -2.890 5.005
Rb Tl H Pt
2 1 6 1
Direct
0.189 0.333 0.667 Rb
0.811 0.667 0.333 Rb
0.500 0.000 0.000 Tl
0.863 0.135 0.270 H
0.863 0.135 0.865 H
0.863 0.730 0.865 H
0.137 0.865 0.135 H
0.137 0.270 0.135 H
0.137 0.865 0.730 H
0.000 0.000 0.000 Pt
```

Results
**SG**: P-3m1, No. 164
**DFT total energy**: -32.8 eV/cell



Record 2
The following is a DFT calculation (PBE-GGA) of RbTl2HPt after structural relaxation.

Cell and atoms, written as POSCAR:
```
RbTl2HPt
1.0
5.709 0.000 0.000
0.000 3.769 0.000
0.000 0.000 5.709
H Tl Rb Pt
1 2 1 1
Direct
0.000 0.500 0.000 H
0.000 0.000 0.500 Tl
0.500 0.000 0.000 Tl
0.500 0.500 0.500 Rb
0.000 0.000 0.000 Pt
```

Results
**SG**: P4/mmm, No. 123
**DFT total energy**: -14.5 eV/cell



Record 3
The following is a DFT calculation (PBE-GGA) of Rb2VHPt after structural relaxation.

Cell and atoms, written as POSCAR:
```
Rb2VHPt
1.0
6.714 0.000 0.000
0.000 3.358 0.000
0.000 0.000 6.714
H Rb Pt V
1 2 1 1
Direct
0.000 0.500 0.000 H
0.000 0.000 0.500 Rb
0.500 0.000 0.000 Rb
0.000 0.000 0.000 Pt
0.500 0.500 0.500 V
```

Results
**SG**: P4/mmm, No. 123
**DFT total energy**: -16.9 eV/cell



Record 4
The following is a DFT calculation (PBE-GGA) of Re3HPt after structural relaxation.

Cell and atoms, written as POSCAR:
```
Re3HPt
1.0
-2.517 1.756 2.496
0.118 -3.176 2.355
3.050 1.573 1.969
Re Pt H
3 1 1
Direct
0.000 0.500 0.000 Re
0.000 0.000 0.500 Re
0.500 0.000 0.000 Re
0.500 0.500 0.500 Pt
0.000 0.000 0.000 H
```

Results
**Energy above the lowest structure with this stoichiometry**: 0 meV per atom
**SG**: Pm-3m, No. 221
**DFT total energy**: -46.3 eV/cell



Record 5
The following is a DFT calculation (PBE-GGA) of Re2HPt after structural relaxation.

Cell and atoms, written as POSCAR:
```
Re2HPt
1.0
-3.071 -2.889 -0.446
-3.016 0.547 -2.929
-0.093 -2.482 -3.436
Re Pt H
2 1 1
Direct
0.250 0.250 0.250 Re
0.750 0.750 0.750 Re
0.500 0.500 0.500 Pt
0.000 0.000 0.000 H
```

Results
**Energy above the lowest structure with this stoichiometry**: 114 meV per atom
**SG**: Fm-3m, No. 225
**DFT total energy**: -30.5 eV/cell



Record 6
The following is a DFT calculation (PBE-GGA) of ReH3Pt after structural relaxation.

Cell and atoms, written as POSCAR:
```
ReH3Pt
1.0
3.469 0.000 0.000
0.000 3.469 0.000
0.000 0.000 3.469
Re Pt H
1 1 3
Direct
0.500 0.500 0.500 Re
0.000 0.000 0.000 Pt
0.000 0.500 0.000 H
0.000 0.000 0.500 H
0.500 0.000 0.000 H
```

Results
**Energy above the lowest structure with this stoichiometry**: 169 meV per atom
**SG**: Pm-3m, No. 221
**DFT total energy**: -24.7 eV/cell



Record 7
The following is a DFT calculation (PBE-GGA) of ReH3Pt after structural relaxation.

Cell and atoms, written as POSCAR:
```
ReH3Pt
1.0
3.468 0.000 0.000
0.000 3.468 0.000
0.000 0.000 3.468
Re Pt H
1 1 3
Direct
0.000 0.000 0.000 Re
0.500 0.500 0.500 Pt
0.000 0.500 0.000 H
0.000 0.000 0.500 H
0.500 0.000 0.000 H
```

Results
**Energy above the lowest structure with this stoichiometry**: 0 meV per atom
**SG**: Pm-3m, No. 221
**DFT total energy**: -25.6 eV/cell



Record 8
The following is a DFT calculation (PBE-GGA) of Re3HPt after structural relaxation.

Cell and atoms, written as POSCAR:
```
Re3HPt
1.0
4.802 0.000 0.000
0.000 4.802 0.000
0.000 0.000 4.802
Re Pt H
3 1 1
Direct
0.000 0.500 0.000 Re
0.000 0.000 0.500 Re
0.500 0.000 0.000 Re
0.000 0.000 0.000 Pt
0.500 0.500 0.500 H
```

Results
**Energy above the lowest structure with this stoichiometry**: 3088 meV per atom
**SG**: Pm-3m, No. 221
**DFT total energy**: -30.9 eV/cell



Record 9
The following is a DFT calculation (PBE-GGA) of Re2H2Pt after structural relaxation.

Cell and atoms, written as POSCAR:
```
Re2H2Pt
1.0
3.498 0.000 0.000
0.000 3.498 0.000
1.749 1.749 4.194
Re Pt H
2 1 2
Direct
0.340 0.340 0.320 Re
0.660 0.660 0.680 Re
0.000 0.000 0.000 Pt
0.750 0.250 0.500 H
0.250 0.750 0.500 H
```

Results
**Energy above the lowest structure with this stoichiometry**: 0 meV per atom
**SG**: I4/mmm, No. 139
**DFT total energy**: -36.0 eV/cell



Record 10
The following is a DFT calculation (PBE-GGA) of Re2H2Pt after structural relaxation.

Cell and atoms, written as POSCAR:
```
Re2H2Pt
1.0
-0.972 -6.554 -1.057
2.280 -1.333 6.168
-2.447 0.210 0.950
Re Pt H
4 2 4
Direct
0.370 0.870 0.000 Re
0.870 0.630 0.000 Re
0.630 0.130 0.000 Re
0.130 0.370 0.000 Re
0.000 0.000 0.000 Pt
0.500 0.500 0.000 Pt
0.101 0.601 0.500 H
0.601 0.899 0.500 H
0.899 0.399 0.500 H
0.399 0.101 0.500 H
```

Results
**Energy above the lowest structure with this stoichiometry**: 465 meV per atom
**SG**: P4/mbm, No. 127
**DFT total energy**: -67.4 eV/cell



Record 11
The following is a DFT calculation (PBE-GGA) of Re2HPt after structural relaxation.

Cell and atoms, written as POSCAR:
```
Re2HPt
1.0
-3.752 -2.551 -1.488
2.908 -3.611 -1.142
-0.958 -4.959 3.254
Re Pt H
4 2 2
Direct
0.480 0.125 0.250 Re
0.270 0.625 0.250 Re
0.375 0.520 0.750 Re
0.875 0.730 0.750 Re
0.000 0.000 0.000 Pt
0.750 0.250 0.500 Pt
0.500 0.500 0.000 H
0.250 0.750 0.500 H
```

Results
**Energy above the lowest structure with this stoichiometry**: 0 meV per atom
**SG**: I-42d, No. 122
**DFT total energy**: -62.0 eV/cell



Record 12
The following is a DFT calculation (PBE-GGA) of ReHPtRh2 after structural relaxation.

Cell and atoms, written as POSCAR:
```
ReHPtRh2
1.0
3.951 0.000 0.000
0.000 3.936 0.000
0.000 0.000 3.951
Re Rh Pt H
1 2 1 1
Direct
0.500 0.500 0.500 Re
0.000 0.000 0.500 Rh
0.500 0.000 0.000 Rh
0.000 0.500 0.000 Pt
0.000 0.000 0.000 H
```

Results
**Energy above the lowest structure with this stoichiometry**: 55 meV per atom
**SG**: P4/mmm, No. 123
**DFT total energy**: -35.8 eV/cell